A | {"formula": "MoRh2Br", "functional": "GGA-PBEsol", "state": "optimized geometry", "lattice_angstrom": [[4.686, 0.000, 0.000], [0.000, 4.686, 0.000], [0.000, 0.000, 2.795]], "species": ["Mo", "Rh", "Rh", "Br"], "fractional_positions": [[0.000, 0.000, 0.000], [0.000, 0.500, 0.500], [0.500, 0.000, 0.500], [0.500, 0.500, 0.000]], "sg": "P4/mmm (123)"}

B | {"formula": "MoRh2Br", "functional": "GGA-PBEsol", "state": "optimized geometry", "lattice_angstrom": [[2.850, 0.000, 0.000], [0.000, 2.850, 0.000], [0.000, 0.000, 7.655]], "species": ["Mo", "Rh", "Rh", "Br"], "fractional_positions": [[0.000, 0.000, 0.000], [0.500, 0.500, 0.229], [0.500, 0.500, 0.771], [0.000, 0.000, 0.500]], "sg": "P4/mmm (123)"}

Stability ranking, top entry: B; the second entry is 457 meV per atom less favorable.

A | {"formula": "ZnAg2Sb", "functional": "GGA-PBEsol", "state": "optimized geometry", "lattice_angstrom": [[3.008, 0.000, 0.000], [0.000, 3.008, 0.000], [0.000, 0.000, 8.314]], "species": ["Zn", "Ag", "Ag", "Sb"], "fractional_positions": [[0.000, 0.000, 0.000], [0.000, 0.000, 0.568], [0.500, 0.500, 0.802], [0.500, 0.500, 0.294]], "sg": "P4mm (99)"}

B | {"formula": "ZnAg2Sb", "functional": "GGA-PBEsol", "state": "optimized geometry", "lattice_angstrom": [[3.077, 0.000, 0.000], [0.000, 3.603, 0.000], [-0.037, 0.000, 6.653]], "species": ["Zn", "Ag", "Ag", "Sb"], "fractional_positions": [[0.000, 0.000, 0.000], [0.498, 0.500, 0.791], [0.502, 0.500, 0.209], [0.000, 0.000, 0.500]], "sg": "P2/m (10)"}

C | {"formula": "ZnAg2Sb", "functional": "GGA-PBEsol", "state": "optimized geometry", "lattice_angstrom": [[-2.073, 2.073, 4.244], [2.073, -2.073, 4.244], [2.073, 2.073, -4.244]], "species": ["Zn", "Ag", "Ag", "Sb"], "fractional_positions": [[0.000, 0.000, 0.000], [0.250, 0.750, 0.500], [0.750, 0.250, 0.500], [0.500, 0.500, 0.000]], "sg": "I4/mmm (139)"}

Stability ranking, top entry: B; the second entry is 6 meV per atom less favorable.